No. 1
The following is a meta-GGA SCAN calculation of a PBEsol-optimized structure of ZrAuOF2, from Alexandria via LeMat-Bulk.

Unit cell a=4.003 b=4.400 c=4.400 alpha=90.00 beta=90.00 gamma=90.00
Site moments in Bohr magnetons follow the coordinates.
Positions (direct):
Au 0.000 0.000 0.000  -0.01
F 0.000 0.500 0.000  0.03
F 0.000 0.000 0.500  0.03
O 0.500 0.000 0.000  -0.03
Zr 0.500 0.500 0.500  1.41

Computed properties:
E above lowest polymorph   1773.1 meV/atom
SG   P4/mmm, No. 123
Total magnetic moment   0.38 μB/atom
Total energy   -1.708 Ry/atom
D(E_F)   2.43 states/eV per cell
E_form (uncorrected)   -3.01 eV/f.u.


No. 2
The following is a meta-GGA SCAN calculation of a PBEsol-optimized structure of P2AuSF, from Alexandria via LeMat-Bulk.

Unit cell a=4.748 b=4.761 c=4.761 alpha=90.00 beta=90.00 gamma=90.00
Site moments in Bohr magnetons follow the coordinates.
Positions (direct):
F 0.500 0.500 0.500  0.19
S 0.500 0.000 0.000  -0.45
Au 0.000 0.000 0.000  0.13
P 0.000 0.500 0.000  0.61
P 0.000 0.000 0.500  0.61

Computed properties:
SG   P4/mmm, No. 123
Total magnetic moment   0.44 μB/atom
Total energy   -1.445 Ry/atom
D(E_F)   2.63 states/eV per cell
E_form (uncorrected)   4.85 eV/f.u.